ScCr2Co, relaxed, DFT PBE; formation energy from the elements = 207.2 meV/atom; polymorph energy (0 for the lowest one) = 0.105 eV/atom; E = -31.856 eV/f.u.
1.0
2.717 0.000 0.000
0.000 3.774 0.000
-1.270 0.000 5.315
Sc Cr Co
1 2 1
direct
0.000 0.000 0.000
0.286 0.500 0.690
0.462 0.000 0.502
0.696 0.500 0.271